Compound: CdSBr2
Source: Alexandria via LeMat-Bulk
Functional: PBE
Structure: relaxed

Geometry as CIF:
```
data_CdSBr2
_cell_length_a 8.420
_cell_length_b 8.420
_cell_length_c 8.420
_cell_angle_alpha 29.22
_cell_angle_beta 29.22
_cell_angle_gamma 29.22
_space_group_name_H-M_alt 'P 1'
_space_group_IT_number 1
_space_group_name_Hall 'P 1'
loop_
_atom_site_label
_atom_site_type_symbol
_atom_site_fract_x
_atom_site_fract_y
_atom_site_fract_z
S1 S 0.000 0.000 0.000
Cd1 Cd 0.500 0.500 0.500
Br1 Br 0.898 0.898 0.898
Br2 Br 0.102 0.102 0.102
```

space group = R-3m (166)
E_tot = -2.0458 eV per atom
theoretical density = 4.02 g cm⁻³

Compound: Dy2Ga2BiRh5
Source: Alexandria via LeMat-Bulk
Functional: PBE
Structure: relaxed

Geometry as CIF:
```
data_Dy2Ga2BiRh5
_cell_length_a 3.663
_cell_length_b 9.866
_cell_length_c 9.866
_cell_angle_alpha 90.00
_cell_angle_beta 90.00
_cell_angle_gamma 90.00
_space_group_name_H-M_alt 'P 1'
_space_group_IT_number 1
_space_group_name_Hall 'P 1'
loop_
_atom_site_label
_atom_site_type_symbol
_atom_site_fract_x
_atom_site_fract_y
_atom_site_fract_z
Rh1 Rh 0.500 0.570 0.713
Rh2 Rh 0.500 0.930 0.213
Rh3 Rh 0.500 0.713 0.430
Rh4 Rh 0.500 0.787 0.930
Rh5 Rh 0.500 0.000 0.500
Rh6 Rh 0.500 0.287 0.570
Rh7 Rh 0.500 0.500 0.000
Rh8 Rh 0.500 0.213 0.070
Rh9 Rh 0.500 0.430 0.287
Rh10 Rh 0.500 0.070 0.787
Bi1 Bi 0.000 0.000 0.000
Bi2 Bi 0.000 0.500 0.500
Ga1 Ga 0.000 0.621 0.879
Ga2 Ga 0.000 0.379 0.121
Ga3 Ga 0.000 0.879 0.379
Ga4 Ga 0.000 0.121 0.621
Dy1 Dy 0.000 0.675 0.175
Dy2 Dy 0.000 0.825 0.675
Dy3 Dy 0.000 0.325 0.825
Dy4 Dy 0.000 0.175 0.325
```

space group = P4/mbm (127)
energy of formation from the pure elements = -754 meV/atom
theoretical density = 11.06 g cm⁻³

Compound: Ce3PrIr2
Source: Alexandria via LeMat-Bulk
Functional: PBE
Structure: relaxed

Geometry as CIF:
```
data_Ce3PrIr2
_cell_length_a 4.597
_cell_length_b 8.628
_cell_length_c 8.542
_cell_angle_alpha 117.40
_cell_angle_beta 90.00
_cell_angle_gamma 105.45
_space_group_name_H-M_alt 'P 1'
_space_group_IT_number 1
_space_group_name_Hall 'P 1'
loop_
_atom_site_label
_atom_site_type_symbol
_atom_site_fract_x
_atom_site_fract_y
_atom_site_fract_z
Ir1 Ir 0.236 0.473 0.882
Ir2 Ir 0.477 0.954 0.804
Ir3 Ir 0.764 0.527 0.118
Ir4 Ir 0.523 0.046 0.196
Ce1 Ce 0.376 0.752 0.302
Ce2 Ce 0.291 0.581 0.633
Ce3 Ce 0.624 0.248 0.698
Ce4 Ce 0.930 0.861 0.572
Ce5 Ce 0.070 0.139 0.428
Ce6 Ce 0.709 0.419 0.367
Pr1 Pr 0.890 0.780 0.971
Pr2 Pr 0.110 0.220 0.029
```

space group = C2/m (12)
energy of formation from the pure elements = -475 meV/atom
theoretical density = 10.95 g cm⁻³